(1)
! Li3GaRh (GGA-PBEsol, optimized geometry); values from VASP
! - Density of states at the Fermi level: 2.2 states/eV per cell
! - Formation energy from the elements: 0.399 eV/atom
&SYSTEM
  ibrav = 0, nat = 5, ntyp = 3
/
ATOMIC_SPECIES
Li 6.94 Li.upf
Ga 69.72 Ga.upf
Rh 102.91 Rh.upf
ATOMIC_POSITIONS angstrom
Li 0.000 0.000 2.259
Li 0.000 2.259 0.000
Li 2.259 0.000 0.000
Ga 2.259 2.259 2.259
Rh 0.000 0.000 0.000
CELL_PARAMETERS angstrom
4.517 0.000 0.000
0.000 4.517 0.000
0.000 0.000 4.517

***

(2)
! KNi3Au (GGA-PBEsol, optimized geometry); values from VASP
! - Excess energy over the best structure of this formula in the dataset: 88.9 kJ/mol of atoms
! - Density of states at the Fermi level: 3.7 states/eV per cell
! - Formation energy from the elements: 1.994 eV/atom
&SYSTEM
  ibrav = 0, nat = 5, ntyp = 3
/
ATOMIC_SPECIES
K 39.10 K.upf
Ni 58.69 Ni.upf
Au 196.97 Au.upf
ATOMIC_POSITIONS angstrom
K 0.000 0.000 0.000
Ni 0.000 0.000 2.149
Ni 0.000 2.149 0.000
Ni 2.149 0.000 0.000
Au 2.149 2.149 2.149
CELL_PARAMETERS angstrom
4.299 0.000 0.000
0.000 4.299 0.000
0.000 0.000 4.299

***

(3)
! LiAgOs3 (GGA-PBEsol, optimized geometry); values from VASP
! - Density of states at the Fermi level: 6.9 states/eV per cell
! - Formation energy from the elements: 3.079 eV/atom
&SYSTEM
  ibrav = 0, nat = 5, ntyp = 3
/
ATOMIC_SPECIES
Li 6.94 Li.upf
Ag 107.87 Ag.upf
Os 190.23 Os.upf
ATOMIC_POSITIONS angstrom
Li 0.000 0.000 0.000
Ag 2.381 2.381 2.381
Os 0.000 2.381 2.381
Os 2.381 0.000 2.381
Os 2.381 2.381 0.000
CELL_PARAMETERS angstrom
4.761 0.000 0.000
0.000 4.761 0.000
0.000 0.000 4.761

***

(4)
! BaAu (GGA-PBEsol, optimized geometry); values from VASP
! - Density of states at the Fermi level: 4.7 states/eV per cell
! - Formation energy from the elements: -0.656 eV/atom
&SYSTEM
  ibrav = 0, nat = 8, ntyp = 2
/
ATOMIC_SPECIES
Ba 137.33 Ba.upf
Au 196.97 Au.upf
ATOMIC_POSITIONS angstrom
Ba 1.512 1.219 0.852
Ba 2.641 3.658 4.024
Ba 5.665 1.219 2.321
Ba 6.793 3.658 5.493
Au 0.307 1.219 3.991
Au 3.846 3.658 0.818
Au 4.460 1.219 5.526
Au 7.999 3.658 2.354
CELL_PARAMETERS angstrom
8.306 0.000 0.000
0.000 4.878 0.000
0.000 0.000 6.344

***

(5)
! LiFeRu (GGA-PBEsol, optimized geometry); values from VASP
! - Density of states at the Fermi level: 2.4 states/eV per cell
! - Formation energy from the elements: 1.074 eV/atom
&SYSTEM
  ibrav = 0, nat = 3, ntyp = 3
/
ATOMIC_SPECIES
Li 6.94 Li.upf
Fe 55.84 Fe.upf
Ru 101.07 Ru.upf
ATOMIC_POSITIONS angstrom
Li 0.000 0.000 0.000
Fe 1.337 1.337 1.337
Ru 4.012 4.012 4.012
CELL_PARAMETERS angstrom
0.000 2.675 2.675
2.675 0.000 2.675
2.675 2.675 0.000

***

(6)
! HfGePIr2 (GGA-PBEsol, optimized geometry); values from VASP
! - Density of states at the Fermi level: 4.0 states/eV per cell
! - Formation energy from the elements: 0.972 eV/atom
&SYSTEM
  ibrav = 0, nat = 5, ntyp = 4
/
ATOMIC_SPECIES
Hf 178.49 Hf.upf
Ge 72.64 Ge.upf
P 30.97 P.upf
Ir 192.22 Ir.upf
ATOMIC_POSITIONS angstrom
Hf 0.000 0.000 0.000
Ge 0.000 0.000 2.495
P 2.215 2.215 0.000
Ir 0.000 2.215 2.495
Ir 2.215 0.000 2.495
CELL_PARAMETERS angstrom
4.429 0.000 0.000
0.000 4.429 0.000
0.000 0.000 4.989

***

(7)
! LiScGe (GGA-PBEsol, optimized geometry); values from VASP
! - Density of states at the Fermi level: 2.1 states/eV per cell
! - Formation energy from the elements: -0.686 eV/atom
&SYSTEM
  ibrav = 0, nat = 12, ntyp = 3
/
ATOMIC_SPECIES
Li 6.94 Li.upf
Sc 44.96 Sc.upf
Ge 72.64 Ge.upf
ATOMIC_POSITIONS angstrom
Li 1.111 1.035 0.542
Li 2.165 3.104 4.256
Li 4.388 1.035 3.172
Li 5.442 3.104 6.886
Sc 0.067 1.035 5.275
Sc 3.210 3.104 1.561
Sc 3.344 1.035 5.867
Sc 6.486 3.104 2.153
Ge 1.583 3.104 6.703
Ge 1.693 1.035 2.989
Ge 4.860 3.104 4.439
Ge 4.970 1.035 0.725
CELL_PARAMETERS angstrom
6.553 0.000 0.000
0.000 4.139 0.000
0.000 0.000 7.428

***

(8)
! CaSb3S (GGA-PBEsol, optimized geometry); values from VASP
! - Density of states at the Fermi level: 6.3 states/eV per cell
! - E: -3.043 eV/atom
&SYSTEM
  ibrav = 0, nat = 5, ntyp = 3
/
ATOMIC_SPECIES
Ca 40.08 Ca.upf
Sb 121.76 Sb.upf
S 32.06 S.upf
ATOMIC_POSITIONS angstrom
Ca 0.000 0.000 0.000
Sb 0.000 0.000 2.786
Sb 0.000 2.786 0.000
Sb 2.786 0.000 0.000
S 2.786 2.786 2.786
CELL_PARAMETERS angstrom
5.572 0.000 0.000
0.000 5.572 0.000
0.000 0.000 5.572

***

(9)
! Li2La2Hg (GGA-PBEsol, optimized geometry); values from VASP
! - Density of states at the Fermi level: 8.7 states/eV per cell
! - Formation energy from the elements: -0.154 eV/atom
&SYSTEM
  ibrav = 0, nat = 10, ntyp = 3
/
ATOMIC_SPECIES
Li 6.94 Li.upf
La 138.91 La.upf
Hg 200.59 Hg.upf
ATOMIC_POSITIONS angstrom
Li 0.921 2.493 0.000
Li 2.493 5.907 0.000
Li 4.335 0.921 0.000
Li 5.907 4.335 0.000
La 1.223 4.637 2.589
La 2.191 1.223 2.589
La 4.637 5.606 2.589
La 5.606 2.191 2.589
Hg 0.000 0.000 0.000
Hg 3.414 3.414 0.000
CELL_PARAMETERS angstrom
6.828 0.000 0.000
0.000 6.828 0.000
0.000 0.000 5.177

***

(10)
! MoOs2 (GGA-PBEsol, optimized geometry); values from VASP
! - Excess energy over the best structure of this formula in the dataset: 1.3 kJ/mol of atoms
! - Density of states at the Fermi level: 4.2 states/eV per cell
! - Formation energy from the elements: -0.007 eV/atom
&SYSTEM
  ibrav = 0, nat = 6, ntyp = 2
/
ATOMIC_SPECIES
Mo 95.94 Mo.upf
Os 190.23 Os.upf
ATOMIC_POSITIONS angstrom
Mo 0.000 0.000 0.000
Mo 6.169 0.000 2.127
Os -0.411 0.000 3.872
Os 2.283 0.000 4.214
Os 3.455 0.000 1.778
Os 5.759 0.000 5.945
CELL_PARAMETERS angstrom
4.991 -1.371 0.000
4.991 1.371 0.000
-1.582 0.000 6.283

***

(11)
! AlPNF2 (GGA-PBEsol, optimized geometry); values from VASP
! - Density of states at the Fermi level: 0.2 states/eV per cell
! - E: -5.574 eV/atom
&SYSTEM
  ibrav = 0, nat = 5, ntyp = 4
/
ATOMIC_SPECIES
Al 26.98 Al.upf
P 30.97 P.upf
N 14.01 N.upf
F 19.00 F.upf
ATOMIC_POSITIONS angstrom
Al 0.000 0.000 0.000
P 1.755 1.755 2.141
N 0.000 0.000 2.141
F 0.000 1.755 0.000
F 1.755 0.000 0.000
CELL_PARAMETERS angstrom
3.509 0.000 0.000
0.000 3.509 0.000
0.000 0.000 4.282

***

(12)
! ScSiPb2 (GGA-PBEsol, optimized geometry); values from VASP
! - Density of states at the Fermi level: 2.0 states/eV per cell
! - E: -5.261 eV/atom
&SYSTEM
  ibrav = 0, nat = 4, ntyp = 3
/
ATOMIC_SPECIES
Sc 44.96 Sc.upf
Si 28.09 Si.upf
Pb 207.20 Pb.upf
ATOMIC_POSITIONS angstrom
Sc 0.000 0.000 0.000
Si 1.642 1.973 0.934
Pb 0.040 1.973 5.518
Pb 1.641 0.000 3.009
CELL_PARAMETERS angstrom
3.285 0.000 0.000
0.000 3.947 0.000
-1.592 0.000 7.521

***

(13)
! Sr2TiFeO6 (GGA-PBEsol, optimized geometry); values from VASP
! - Density of states at the Fermi level: 1.8 states/eV per cell
! - E: -7.863 eV/atom
&SYSTEM
  ibrav = 0, nat = 10, ntyp = 4
/
ATOMIC_SPECIES
Sr 87.62 Sr.upf
Ti 47.87 Ti.upf
Fe 55.84 Fe.upf
O 16.00 O.upf
ATOMIC_POSITIONS angstrom
Sr 0.000 0.000 1.834
Sr 0.000 0.000 5.762
Ti 1.935 1.935 3.798
Fe 1.935 1.935 0.000
O 0.000 1.935 0.000
O 0.000 1.935 3.798
O 1.935 0.000 0.000
O 1.935 0.000 3.798
O 1.935 1.935 1.848
O 1.935 1.935 5.748
CELL_PARAMETERS angstrom
3.871 0.000 0.000
0.000 3.871 0.000
0.000 0.000 7.596

***

(14)
! YMg2Al (GGA-PBEsol, optimized geometry); values from VASP
! - Density of states at the Fermi level: 0.9 states/eV per cell
! - Formation energy from the elements: -0.180 eV/atom
&SYSTEM
  ibrav = 0, nat = 4, ntyp = 3
/
ATOMIC_SPECIES
Y 88.91 Y.upf
Mg 24.30 Mg.upf
Al 26.98 Al.upf
ATOMIC_POSITIONS angstrom
Y 0.000 0.000 0.000
Mg 1.761 1.761 1.761
Mg 3.522 3.522 3.522
Al 5.283 5.283 5.283
CELL_PARAMETERS angstrom
0.000 3.522 3.522
3.522 0.000 3.522
3.522 3.522 0.000

***

(15)
! CsSrF3 (GGA-PBEsol, optimized geometry); values from VASP
! - Density of states at the Fermi level: 0.0 states/eV per cell
! - E: -5.139 eV/atom
&SYSTEM
  ibrav = 0, nat = 5, ntyp = 3
/
ATOMIC_SPECIES
Cs 132.91 Cs.upf
Sr 87.62 Sr.upf
F 19.00 F.upf
ATOMIC_POSITIONS angstrom
Cs 0.000 0.000 0.000
Sr 2.366 2.366 2.366
F 0.000 2.366 2.366
F 2.366 0.000 2.366
F 2.366 2.366 0.000
CELL_PARAMETERS angstrom
4.732 0.000 0.000
0.000 4.732 0.000
0.000 0.000 4.732

***

(16)
! HgBiOsPd2 (GGA-PBEsol, optimized geometry); values from VASP
! - Density of states at the Fermi level: 5.2 states/eV per cell
! - Formation energy from the elements: 1.062 eV/atom
&SYSTEM
  ibrav = 0, nat = 5, ntyp = 4
/
ATOMIC_SPECIES
Hg 200.59 Hg.upf
Bi 208.98 Bi.upf
Os 190.23 Os.upf
Pd 106.42 Pd.upf
ATOMIC_POSITIONS angstrom
Hg 0.000 0.000 0.000
Bi 2.426 2.426 0.000
Os 2.426 2.426 2.540
Pd 0.000 2.426 2.540
Pd 2.426 0.000 2.540
CELL_PARAMETERS angstrom
4.853 0.000 0.000
0.000 4.853 0.000
0.000 0.000 5.079

***

(17)
! SrSiSbTe2 (GGA-PBEsol, optimized geometry); values from VASP
! - Density of states at the Fermi level: 4.2 states/eV per cell
! - E: -4.099 eV/atom
&SYSTEM
  ibrav = 0, nat = 5, ntyp = 4
/
ATOMIC_SPECIES
Sr 87.62 Sr.upf
Si 28.09 Si.upf
Sb 121.76 Sb.upf
Te 127.60 Te.upf
ATOMIC_POSITIONS angstrom
Sr 0.000 0.000 0.000
Si 2.715 2.715 2.552
Sb 2.715 2.715 0.000
Te 0.000 2.715 2.552
Te 2.715 0.000 2.552
CELL_PARAMETERS angstrom
5.430 0.000 0.000
0.000 5.430 0.000
0.000 0.000 5.103

***

(18)
! MgFe3F (GGA-PBEsol, optimized geometry); values from VASP
! - Density of states at the Fermi level: 6.9 states/eV per cell
! - E: -4.434 eV/atom
&SYSTEM
  ibrav = 0, nat = 5, ntyp = 3
/
ATOMIC_SPECIES
Mg 24.30 Mg.upf
Fe 55.84 Fe.upf
F 19.00 F.upf
ATOMIC_POSITIONS angstrom
Mg 0.000 0.000 0.000
Fe 0.000 0.000 2.258
Fe 0.000 2.258 0.000
Fe 2.258 0.000 0.000
F 2.258 2.258 2.258
CELL_PARAMETERS angstrom
4.516 0.000 0.000
0.000 4.516 0.000
0.000 0.000 4.516

***

(19)
! Be2CrFe (GGA-PBEsol, optimized geometry); values from VASP
! - Excess energy over the best structure of this formula in the dataset: 7.6 kJ/mol of atoms
! - Density of states at the Fermi level: 1.4 states/eV per cell
! - Formation energy from the elements: -0.077 eV/atom
&SYSTEM
  ibrav = 0, nat = 4, ntyp = 3
/
ATOMIC_SPECIES
Be 9.01 Be.upf
Cr 52.00 Cr.upf
Fe 55.84 Fe.upf
ATOMIC_POSITIONS angstrom
Be 0.000 0.000 0.000
Be 1.328 1.328 1.147
Cr 0.000 0.000 2.644
Fe 1.328 1.328 3.909
CELL_PARAMETERS angstrom
2.655 0.000 0.000
0.000 2.655 0.000
0.000 0.000 5.248

***

(20)
! In2RePb (GGA-PBEsol, optimized geometry); values from VASP
! - Excess energy over the best structure of this formula in the dataset: 27.5 kJ/mol of atoms
! - Density of states at the Fermi level: 2.8 states/eV per cell
! - Formation energy from the elements: 0.726 eV/atom
&SYSTEM
  ibrav = 0, nat = 4, ntyp = 3
/
ATOMIC_SPECIES
In 114.82 In.upf
Re 186.21 Re.upf
Pb 207.20 Pb.upf
ATOMIC_POSITIONS angstrom
In 0.000 0.000 2.145
In 0.000 0.000 7.199
Re 1.782 0.000 0.000
Pb 0.000 2.529 0.000
CELL_PARAMETERS angstrom
-1.782 2.529 4.672
1.782 -2.529 4.672
1.782 2.529 -4.672

***

(21)
! TlSbI2 (GGA-PBEsol, optimized geometry); values from VASP
! - Density of states at the Fermi level: 2.1 states/eV per cell
! - E: -2.641 eV/atom
&SYSTEM
  ibrav = 0, nat = 8, ntyp = 3
/
ATOMIC_SPECIES
Tl 204.38 Tl.upf
Sb 121.76 Sb.upf
I 126.90 I.upf
ATOMIC_POSITIONS angstrom
Tl 0.000 0.000 0.000
Tl 0.000 2.878 4.944
Sb 2.878 0.000 4.944
Sb 0.000 0.000 9.889
I 1.439 -1.212 7.417
I 1.665 1.439 2.472
I 1.439 4.090 -2.472
I 1.212 1.439 12.361
CELL_PARAMETERS angstrom
-2.878 2.878 9.889
2.878 -2.878 9.889
2.878 2.878 -9.889

***

(22)
! Tm2PdPt (GGA-PBEsol, optimized geometry); values from VASP
! - Density of states at the Fermi level: 1.9 states/eV per cell
! - Formation energy from the elements: -1.108 eV/atom
&SYSTEM
  ibrav = 0, nat = 4, ntyp = 3
/
ATOMIC_SPECIES
Tm 168.93 Tm.upf
Pd 106.42 Pd.upf
Pt 195.08 Pt.upf
ATOMIC_POSITIONS angstrom
Tm 1.699 1.699 1.699
Tm 5.097 5.097 5.097
Pd 0.000 0.000 0.000
Pt 3.398 3.398 3.398
CELL_PARAMETERS angstrom
0.000 3.398 3.398
3.398 0.000 3.398
3.398 3.398 0.000

***

(23)
! Cu3SiO (GGA-PBEsol, optimized geometry); values from VASP
! - Density of states at the Fermi level: 2.8 states/eV per cell
! - E: -4.654 eV/atom
&SYSTEM
  ibrav = 0, nat = 5, ntyp = 3
/
ATOMIC_SPECIES
Cu 63.55 Cu.upf
Si 28.09 Si.upf
O 16.00 O.upf
ATOMIC_POSITIONS angstrom
Cu 0.000 0.000 1.970
Cu 0.000 1.970 0.000
Cu 1.970 0.000 0.000
Si 1.970 1.970 1.970
O 0.000 0.000 0.000
CELL_PARAMETERS angstrom
3.940 0.000 0.000
0.000 3.940 0.000
0.000 0.000 3.940

***

(24)
! Cr2TcP (GGA-PBEsol, optimized geometry); values from VASP
! - Density of states at the Fermi level: 4.6 states/eV per cell
! - Formation energy from the elements: -0.151 eV/atom
&SYSTEM
  ibrav = 0, nat = 4, ntyp = 3
/
ATOMIC_SPECIES
Cr 52.00 Cr.upf
Tc 98.00 Tc.upf
P 30.97 P.upf
ATOMIC_POSITIONS angstrom
Cr 0.000 0.000 0.000
Cr 5.891 0.000 0.570
Tc 3.528 0.000 2.077
P 1.194 0.000 2.744
CELL_PARAMETERS angstrom
4.140 -1.423 0.000
4.140 1.423 0.000
-1.256 0.000 4.063

***

(25)
! YTiCr3 (GGA-PBEsol, optimized geometry); values from VASP
! - Density of states at the Fermi level: 10.6 states/eV per cell
! - Formation energy from the elements: 2.095 eV/atom
&SYSTEM
  ibrav = 0, nat = 5, ntyp = 3
/
ATOMIC_SPECIES
Y 88.91 Y.upf
Ti 47.87 Ti.upf
Cr 52.00 Cr.upf
ATOMIC_POSITIONS angstrom
Y 0.000 0.000 0.000
Ti 2.310 2.310 2.310
Cr 0.000 0.000 2.310
Cr 0.000 2.310 0.000
Cr 2.310 0.000 0.000
CELL_PARAMETERS angstrom
4.619 0.000 0.000
0.000 4.619 0.000
0.000 0.000 4.619

***

(26)
! La2YMn (GGA-PBEsol, optimized geometry); values from VASP
! - Excess energy over the best structure of this formula in the dataset: 13.8 kJ/mol of atoms
! - Density of states at the Fermi level: 5.5 states/eV per cell
! - Formation energy from the elements: 0.384 eV/atom
&SYSTEM
  ibrav = 0, nat = 4, ntyp = 3
/
ATOMIC_SPECIES
La 138.91 La.upf
Y 88.91 Y.upf
Mn 54.94 Mn.upf
ATOMIC_POSITIONS angstrom
La 0.000 0.000 0.000
La 1.888 1.888 1.888
Y 3.776 3.776 3.776
Mn 5.664 5.664 5.664
CELL_PARAMETERS angstrom
0.000 3.776 3.776
3.776 0.000 3.776
3.776 3.776 0.000

***

(27)
! Rb2ScCuCl6 (GGA-PBEsol, optimized geometry); values from VASP
! - Density of states at the Fermi level: 0.0 states/eV per cell
! - E: -4.227 eV/atom
&SYSTEM
  ibrav = 0, nat = 10, ntyp = 4
/
ATOMIC_SPECIES
Rb 85.47 Rb.upf
Sc 44.96 Sc.upf
Cu 63.55 Cu.upf
Cl 35.45 Cl.upf
ATOMIC_POSITIONS angstrom
Rb 2.476 2.476 2.476
Rb 7.429 7.429 7.429
Sc 0.000 0.000 0.000
Cu 4.953 4.953 4.953
Cl 4.953 4.953 2.477
Cl 4.953 2.477 4.953
Cl 7.428 4.953 4.953
Cl 2.477 4.953 4.953
Cl 4.953 7.428 4.953
Cl 4.953 4.953 7.428
CELL_PARAMETERS angstrom
0.000 4.953 4.953
4.953 0.000 4.953
4.953 4.953 0.000